HfCo2F: optimized geometry, PBE+U.

## Properties
* relative energy among the computed polymorphs: 473 meV per atom
* calculated density: 8.7 Mg/m³

a = 6.2314 Å, b = 6.2314 Å, c = 6.2314 Å
α = 90.00°, β = 90.00°, γ = 90.00°
With the nearest neighbours (Å) after each atom.
Space group Fm-3m (No. 225)
Inequivalent atoms, fractional coordinates:
1 Hf 0.0000 0.0000 0.0000 x4  8 Co 2.70
2 Co 0.2500 0.2500 0.2500 x8  4 Hf 2.70, 4 F 2.70
3 F 0.0000 0.0000 0.5000 x4  8 Co 2.70